# 1
meta-GGA SCAN WAuOF2, single point on PBEsol structure; energy relative to the elements, uncorrected = -991 meV per atom; space-group type = P4/mmm (123)
1.0
3.812 0.000 0.000
0.000 4.181 0.000
0.000 0.000 4.181
F W Au O
2 1 1 1
Direct
0.000 0.000 0.500 F
0.000 0.500 0.000 F
0.000 0.000 0.000 W
0.500 0.500 0.500 Au
0.500 0.000 0.000 O

# 2
meta-GGA SCAN HfAu, single point on PBEsol structure; energy of formation = -0.715 eV/atom; space-group type = P4/nmm (129)
1.0
-1.694 3.015 -0.054
-1.784 -1.052 -2.770
-4.396 -2.403 3.744
Hf Au
2 2
Direct
0.500 0.000 0.149 Hf
0.000 0.500 0.851 Hf
0.500 0.000 0.628 Au
0.000 0.500 0.372 Au

| no. | density of states at the Fermi level (states/eV/cell) |
| --- | --- |
| 1 | 2.51 |
| 2 | 1.99 |